No. 1
# GGA-PBE LaTlCuCl5, relaxed
data_LaTlCuCl5
_symmetry_space_group_name_H-M 'C 1 2/c 1'
_symmetry_Int_Tables_number 15
_symmetry_space_group_name_Hall '-C 2yc'
_cell_length_a 8.971
_cell_length_b 12.130
_cell_length_c 10.371
_cell_angle_alpha 90.00
_cell_angle_beta 113.14
_cell_angle_gamma 90.00
loop_
_atom_site_label
_atom_site_type_symbol
_atom_site_fract_x
_atom_site_fract_y
_atom_site_fract_z
La1 La 0.000 0.000 0.000
Tl1 Tl 0.000 0.359 0.250
Cu1 Cu 0.000 0.310 0.750
Cl1 Cl 0.000 0.090 0.250
Cl2 Cl 0.116 0.203 0.628
Cl3 Cl 0.180 0.429 0.922
# ΔE_f (raw): -1537 meV/atom
# N(E_F): 0.000 states/eV per cell
# calculated density: 3.739 g cm⁻³
# total moment: 0.16 μB/f.u.
# energy: -4.115 eV per atom

---

No. 2
# GGA-PBE BaNa2CdHg4, relaxed
data_BaNa2CdHg4
_symmetry_space_group_name_H-M 'R -3 m'
_symmetry_Int_Tables_number 166
_symmetry_space_group_name_Hall '-R 3 2"'
_cell_length_a 5.2595
_cell_length_b 5.2595
_cell_length_c 29.4008
_cell_angle_alpha 90.00
_cell_angle_beta 90.00
_cell_angle_gamma 120.00
loop_
_atom_site_label
_atom_site_type_symbol
_atom_site_fract_x
_atom_site_fract_y
_atom_site_fract_z
Ba1 Ba 0.0000 0.0000 0.0000
Na1 Na 0.0000 0.0000 0.2298
Cd1 Cd 0.0000 0.0000 0.5000
Hg1 Hg 0.0000 0.0000 0.1196
Hg2 Hg 0.0000 0.0000 0.3963
# N(E_F): 15.414 states/eV per cell
# calculated density: 7.767 g cm⁻³
# total moment: 0.00 μB/f.u.
# E_form: -0.280 eV per atom
# energy: -1.116 eV per atom

---

Q: The highest energy belongs to which entry?
A: BaNa2CdHg4